TaAl2Au PBE optimized geometry; total moment = 0.00 μB per cell; calculated formation energy = -0.292 eV/atom; electronic total energy = -23.782 eV/cell; density of states at the Fermi level = 1.7 states/eV/cell; energy above the most stable polymorph in this dataset = 0 meV per atom
1.0
4.1483 0.0000 0.0000
0.0000 4.1483 0.0000
0.0000 0.0000 3.8055
Al Au Ta
2 1 1
direct
0.0000 0.0000 0.0000
0.5000 0.5000 0.0000
0.5000 0.0000 0.5000
0.0000 0.5000 0.5000